Material: Tl2FeSiO4
Method: DFT, GGA+U
State: relaxed

Output
- total magnetic moment (μB per cell) = 8.0
- total energy (eV per atom) = -5.9378

Cell and atoms, written as extended XYZ:
```
16
Lattice="-1.099 3.143 4.023 1.870 -2.155 5.584 8.420 6.245 0.811" Properties=species:S:1:pos:R:3 pbc="T T T"
Tl 5.216 4.575 1.240
Tl 7.525 6.071 5.785
Tl 2.105 4.812 3.594
Tl 1.117 2.733 6.643
O 4.355 2.434 5.738
O 5.138 5.060 7.946
O 1.836 -0.187 6.060
O 4.943 4.494 4.289
O 3.947 2.477 2.860
O 7.798 6.152 2.736
O 0.374 1.925 3.354
O 8.374 6.575 8.685
Si -0.549 1.571 2.011
Si 4.870 2.831 4.203
Fe 4.321 4.402 6.214
Fe 0.000 0.000 0.000
```